Density functional theory data (PBE) for a relaxed structure of Li2Pm2Sb2N.

Values from the calculation:
- density of states at the Fermi level (states/eV/cell) = 10.9
- M_tot (μB per cell) = 0.00
- ΔE_f (raw) (eV/atom) = -0.88

Cell lengths 4.5194, 4.5194, 15.5681 Å; angles 90.00, 90.00, 90.00 degrees
Last column: nearest neighbours and their distance in Å.
Space group I4/mmm (No. 139)
Unique sites:
Li  0.0000  0.5000  0.0000  2 N 2.26
Pm  0.0000  0.0000  0.1454  1 N 2.26
Sb  0.0000  0.0000  0.3625  4 Li 3.11, 5 Pm 3.20-3.38
N  0.0000  0.0000  0.0000  4 Li 2.26, 2 Pm 2.26